(1)
Computed, not measured: crystalline Dy8Ni2Au at its relaxed geometry at the GGA-PBE level of DFT.

Values from the calculation:
Calculated volume   26.4 Å³/atom
E above lowest polymorph   0.094 eV per atom
Total magnetization   0.00 μB/f.u.
Final energy   -107.84 eV for the cell shown

abc: 8.3188 12.9217 5.6209
angles: 90.00 106.22 90.00
Closest atoms and distances in Å follow each position.
Space group Cm (No. 8)
Asymmetric unit:
Dy: 0.0000 0.0000 0.0000  1 Au 3.07, 2 Ni 3.12, 3 Dy 3.32-3.42
Dy: 0.0847 0.3707 0.7706  2 Ni 2.75-2.79
Dy: 0.1685 0.1290 0.5948  2 Ni 2.77-2.78
Dy: 0.2529 0.5000 0.3720  1 Au 3.04, 2 Ni 3.11, 3 Dy 3.32-3.39
Dy: 0.3770 0.2319 0.1860  2 Ni 2.95-2.96, 1 Au 3.04
Ni: 0.3756 0.3017 0.6845  6 Dy 2.75-2.96
Au: 0.3745 0.0000 0.2757  8 Dy 3.04-3.30


(2)
Computed, not measured: crystalline ScTaBe2 at its relaxed geometry at the GGA-PBE level of DFT.

Values from the calculation:
Calculated volume   15.1 Å³/atom
E above lowest polymorph   0.684 eV per atom
Total magnetization   1.20 μB/f.u.
Final energy   -91.65 eV for the cell shown

abc: 6.2311 6.2311 6.2311
angles: 90.00 90.00 90.00
Closest atoms and distances in Å follow each position.
Space group F-43m (No. 216)
Asymmetric unit:
Sc: 0.0000 0.0000 0.0000  4 Be 2.70, 4 Ta 2.70
Ta: 0.2500 0.2500 0.7500  4 Be 2.70, 4 Sc 2.70
Be: 0.0000 0.0000 0.5000  4 Ta 2.70, 4 Be 2.70
Be: 0.2500 0.2500 0.2500  4 Be 2.70, 4 Sc 2.70


(3)
Computed, not measured: crystalline HfMgS3 at its relaxed geometry at the GGA-PBE level of DFT.

Values from the calculation:
E_form (uncorrected)   -1.3867 eV per atom
Calculated volume   22.4 Å³/atom
E above lowest polymorph   0.000 eV per atom
Total magnetization   0.00 μB/f.u.
Final energy   -61.73 eV for the cell shown

abc: 6.3815 6.3815 6.3499
angles: 90.00 90.00 120.00
Closest atoms and distances in Å follow each position.
Space group P-6c2 (No. 188)
Asymmetric unit:
Hf: 0.0000 0.0000 0.0000  6 S 2.56
Mg: 0.3333 0.6667 0.0000  6 S 2.62
S: 0.0240 0.3252 0.2500  2 Hf 2.56, 2 Mg 2.62


(4)
Computed, not measured: crystalline Ca2ZrPt at its relaxed geometry at the GGA-PBE level of DFT.

Values from the calculation:
Calculated volume   25.5 Å³/atom
E above lowest polymorph   0.214 eV per atom
Total magnetization   0.75 μB/f.u.
Final energy   -19.43 eV for the cell shown

abc: 3.4135 3.4135 8.7665
angles: 90.00 90.00 90.00
Closest atoms and distances in Å follow each position.
Space group P4/mmm (No. 123)
Asymmetric unit:
Ca: 0.0000 0.0000 0.1980  4 Pt 2.97
Zr: 0.5000 0.5000 0.5000  4 Zr 3.41, 8 Ca 3.58
Pt: 0.5000 0.5000 0.0000  8 Ca 2.97


(5)
Computed, not measured: crystalline ZnW2Cl at its relaxed geometry at the GGA-PBE level of DFT.

Values from the calculation:
E_form (uncorrected)   0.7684 eV per atom
Calculated volume   16.2 Å³/atom
E above lowest polymorph   0.462 eV per atom
Total magnetization   0.00 μB/f.u.
Final energy   -51.91 eV for the cell shown

abc: 10.0500 2.8201 4.9283
angles: 90.00 111.59 90.00
Closest atoms and distances in Å follow each position.
Space group Cm (No. 8)
Asymmetric unit:
Zn: 0.0000 0.0000 0.0000  7 W 2.76-2.92, 2 Zn 2.82, 3 Cl 2.93-2.98
W: 0.2449 0.0000 0.8282  2 Cl 2.46
W: 0.4956 0.0000 0.5146  2 Cl 2.55, 2 Zn 2.76, 4 W 2.79-2.82
Cl: 0.2738 0.5000 0.2560  4 W 2.46-2.55


(6)
Computed, not measured: crystalline Er6Zn2Rh at its relaxed geometry at the GGA-PBE level of DFT.

Values from the calculation:
Calculated volume   24.6 Å³/atom
Total magnetization   0.00 μB/f.u.
Final energy   -161.35 eV for the cell shown

abc: 9.3941 9.4771 9.9289
angles: 90.00 90.00 90.00
Closest atoms and distances in Å follow each position.
Space group Immm (No. 71)
Asymmetric unit:
Er: 0.0000 0.1745 0.2489  1 Rh 2.97, 3 Zn 3.05-3.23, 1 Er 3.31
Er: 0.1745 0.5000 0.2204  3 Zn 2.87-3.03
Er: 0.2341 0.3102 0.5000  2 Rh 2.84-3.08, 2 Zn 2.99-3.10
Zn: 0.0000 0.3628 0.0000  1 Zn 2.60
Zn: 0.1285 0.0000 0.5000  1 Zn 2.41
Rh: 0.0000 0.0000 0.0000  8 Er 2.97-3.08
Rh: 0.0000 0.5000 0.5000  4 Er 2.84


(7)
Computed, not measured: crystalline CaNiAg2 at its relaxed geometry at the GGA-PBE level of DFT.

Values from the calculation:
Calculated volume   18.8 Å³/atom
Total magnetization   0.00 μB/f.u.
Final energy   -27.12 eV for the cell shown

abc: 10.3976 3.5589 4.5098
angles: 90.00 115.61 90.00
Closest atoms and distances in Å follow each position.
Space group C2/m (No. 12)
Asymmetric unit:
Ca: 0.0000 0.0000 0.0000  4 Ni 2.87, 8 Ag 3.07-3.15
Ni: 0.0000 0.5000 0.5000  4 Ag 2.75, 4 Ca 2.87
Ag: 0.2231 0.0000 0.7230  2 Ni 2.75, 4 Ag 2.92, 1 Ca 3.07


(8)
Computed, not measured: crystalline LuSc3B at its relaxed geometry at the GGA-PBE level of DFT.

Values from the calculation:
Calculated volume   22.3 Å³/atom
Total magnetization   0.00 μB/f.u.
Final energy   -30.33 eV for the cell shown

abc: 4.8145 4.8145 4.8145
angles: 90.00 90.00 90.00
Closest atoms and distances in Å follow each position.
Space group Pm-3m (No. 221)
Asymmetric unit:
Lu: 0.0000 0.0000 0.0000  12 Sc 3.40
Sc: 0.0000 0.5000 0.5000  2 B 2.41
B: 0.5000 0.5000 0.5000  6 Sc 2.41


(9)
Computed, not measured: crystalline La2Pr7Sc2 at its relaxed geometry at the GGA-PBE level of DFT.

Values from the calculation:
Calculated volume   35.1 Å³/atom
E above lowest polymorph   0.035 eV per atom
Total magnetization   0.00 μB/f.u.
Final energy   -54.07 eV for the cell shown

abc: 5.6661 9.7261 6.9982
angles: 90.00 90.05 90.00
Closest atoms and distances in Å follow each position.
Space group P2/m (No. 10)
Asymmetric unit:
La: 0.0006 0.0000 0.2188  1 La 3.06
Pr: 0.0000 0.3140 0.5000  3 Pr 3.51-3.62, 2 La 3.63, 4 Sc 3.84
Pr: 0.0000 0.3464 0.0000  3 Pr 2.99-3.28
Pr: 0.5000 0.0000 0.5000  4 La 3.45
Pr: 0.5000 0.1764 0.0000  3 Pr 3.28-3.43, 2 Sc 3.55, 4 La 3.65
Sc: 0.5001 0.5000 0.2351  1 Sc 3.29, 6 Pr 3.55-3.60


(10)
Computed, not measured: crystalline Ho5Cu4Os at its relaxed geometry at the GGA-PBE level of DFT.

Values from the calculation:
Calculated volume   20.4 Å³/atom
Total magnetization   0.00 μB/f.u.
Final energy   -53.17 eV for the cell shown

abc: 3.4169 3.4169 17.4653
angles: 90.00 90.00 90.00
Closest atoms and distances in Å follow each position.
Space group P4/mmm (No. 123)
Asymmetric unit:
Ho: 0.0000 0.0000 0.0000  8 Cu 2.98
Ho: 0.0000 0.0000 0.2009  8 Cu 2.96-2.99
Ho: 0.0000 0.0000 0.4046  4 Os 2.93, 4 Cu 3.05
Cu: 0.5000 0.5000 0.0995  8 Ho 2.98-2.99
Cu: 0.5000 0.5000 0.2984  8 Ho 2.96-3.05
Os: 0.5000 0.5000 0.5000  8 Ho 2.93


(11)
Computed, not measured: crystalline SrSb4 at its relaxed geometry at the GGA-PBE level of DFT.

Values from the calculation:
E_form (uncorrected)   0.9460 eV per atom
Calculated volume   41.8 Å³/atom
E above lowest polymorph   0.776 eV per atom
Total magnetization   0.00 μB/f.u.
Final energy   -13.44 eV for the cell shown

abc: 5.9341 5.9341 5.9341
angles: 90.00 90.00 90.00
Closest atoms and distances in Å follow each position.
Space group Pm-3m (No. 221)
Asymmetric unit:
Sr: 0.0000 0.0000 0.0000  6 Sb 2.97
Sb: 0.0000 0.0000 0.5000  2 Sr 2.97
Sb: 0.5000 0.5000 0.5000  12 Sb 4.20


(12)
Computed, not measured: crystalline NaSnHg2Pb at its relaxed geometry at the GGA-PBE level of DFT.

Values from the calculation:
Calculated volume   37.1 Å³/atom
E above lowest polymorph   0.443 eV per atom
Total magnetization   0.00 μB/f.u.
Final energy   -7.55 eV for the cell shown

abc: 5.6952 5.6952 5.7153
angles: 90.00 90.00 90.00
Closest atoms and distances in Å follow each position.
Space group P4/mmm (No. 123)
Asymmetric unit:
Na: 0.0000 0.0000 0.0000  2 Pb 2.86
Sn: 0.5000 0.5000 0.0000  4 Na 4.03, 8 Hg 4.03
Hg: 0.0000 0.5000 0.5000  2 Pb 2.85
Pb: 0.0000 0.0000 0.5000  4 Hg 2.85, 2 Na 2.86